The following is a DFT calculation (PBE) of an optimized crystal structure of KNi3Ru.

Summary:
The volume is 84.1 Å³ per cell. The total magnetization comes out at 3.3 μB/cell. The space-group type is Pm-3m, No. 221. As for the energy relative to the lowest polymorph listed for this composition: 1324.0 meV per atom.

abc: 4.381 4.381 4.381
angles: 90.00 90.00 90.00
Sites, in units of the cell vectors:
K1 0.000 0.000 0.000
Ni1 0.000 0.000 0.500
Ni2 0.000 0.500 0.000
Ni3 0.500 0.000 0.000
Ru1 0.500 0.500 0.500

***

The following is a DFT calculation (PBE) of an optimized crystal structure of K2NiRu.

Summary:
The volume is 93.3 Å³ per cell. The total magnetization comes out at 2.9 μB/cell. The space-group type is I-4m2, No. 119. As for the energy relative to the lowest polymorph listed for this composition: 606.0 meV per atom.

abc: 5.093 5.093 5.093
angles: 120.07 120.07 89.88
Sites, in units of the cell vectors:
K1 0.000 0.000 0.000
K2 0.750 0.250 0.500
Ni1 0.250 0.750 0.500
Ru1 0.500 0.500 0.000

***

The following is a DFT calculation (PBE) of an optimized crystal structure of K2NiRu.

Summary:
The volume is 86.7 Å³ per cell. The total magnetization comes out at 1.9 μB/cell. The space-group type is Cmmm, No. 65. As for the energy relative to the lowest polymorph listed for this composition: 547.1 meV per atom.

abc: 6.050 6.050 2.896
angles: 90.00 90.00 125.12
Sites, in units of the cell vectors:
K1 0.000 0.500 0.000
K2 0.500 0.000 0.000
Ni1 0.000 0.000 0.500
Ru1 0.500 0.500 0.500

***

The following is a DFT calculation (PBE) of an optimized crystal structure of K2NiRu.

Summary:
The volume is 80.2 Å³ per cell. The total magnetization comes out at 0.9 μB/cell. The space-group type is C2/m, No. 12. As for the energy relative to the lowest polymorph listed for this composition: 534.7 meV per atom.

abc: 6.205 6.205 2.795
angles: 100.72 100.72 125.35
Sites, in units of the cell vectors:
K1 0.000 0.500 0.000
K2 0.500 0.000 0.000
Ni1 0.000 0.000 0.500
Ru1 0.500 0.500 0.500

***

The following is a DFT calculation (PBE) of an optimized crystal structure of K2NiRu.

Summary:
The volume is 83.8 Å³ per cell. The total magnetization comes out at 0.9 μB/cell. The space-group type is P4/mmm, No. 123. As for the energy relative to the lowest polymorph listed for this composition: 512.9 meV per atom.

abc: 2.798 2.798 10.699
angles: 90.00 90.00 90.00
Sites, in units of the cell vectors:
K1 0.000 0.000 0.243
K2 0.000 0.000 0.757
Ni1 0.500 0.500 0.000
Ru1 0.500 0.500 0.500

***

The following is a DFT calculation (PBE) of an optimized crystal structure of KNiRu2.

Summary:
The volume is 194.1 Å³ per cell. The total magnetization comes out at 4.3 μB/cell. The space-group type is I4_1/amd, No. 141. As for the energy relative to the lowest polymorph listed for this composition: 639.4 meV per atom.

abc: 9.235 9.235 9.235
angles: 150.20 150.20 42.65
Sites, in units of the cell vectors:
K1 0.375 0.625 0.750
K2 0.625 0.375 0.250
Ni1 0.125 0.875 0.250
Ni2 0.875 0.125 0.750
Ru1 0.000 0.000 0.000
Ru2 0.000 0.000 0.500
Ru3 0.000 0.500 0.000
Ru4 0.500 0.000 0.500

***

The following is a DFT calculation (PBE) of an optimized crystal structure of K2NiRu.

Summary:
The volume is 86.3 Å³ per cell. The total magnetization comes out at 2.1 μB/cell. The space-group type is P4/mmm, No. 123. As for the energy relative to the lowest polymorph listed for this composition: 556.5 meV per atom.

abc: 3.996 3.996 5.402
angles: 90.00 90.00 90.00
Sites, in units of the cell vectors:
K1 0.000 0.500 0.000
K2 0.500 0.000 0.000
Ni1 0.000 0.000 0.500
Ru1 0.500 0.500 0.500

***

The following is a DFT calculation (PBE) of an optimized crystal structure of KNiRu2.

Summary:
The volume is 66.9 Å³ per cell. The total magnetization comes out at 2.0 μB/cell. The space-group type is I4/mmm, No. 139. As for the energy relative to the lowest polymorph listed for this composition: 785.7 meV per atom.

abc: 5.331 5.331 5.331
angles: 138.08 138.08 60.78
Sites, in units of the cell vectors:
K1 0.000 0.000 0.000
Ni1 0.500 0.500 0.000
Ru1 0.250 0.750 0.500
Ru2 0.750 0.250 0.500

***

The following is a DFT calculation (PBE) of an optimized crystal structure of K2NiRu.

Summary:
The volume is 135.6 Å³ per cell. The total magnetization comes out at 1.9 μB/cell. The space-group type is Cm, No. 8. As for the energy relative to the lowest polymorph listed for this composition: 0.0 meV per atom.

abc: 4.116 4.116 9.673
angles: 99.88 99.88 57.57
Sites, in units of the cell vectors:
K1 0.000 0.000 0.000
K2 0.135 0.135 0.517
Ni1 0.409 0.409 0.259
Ru1 0.734 0.734 0.259

***

The following is a DFT calculation (PBE) of an optimized crystal structure of KNiRu2.

Summary:
The volume is 65.4 Å³ per cell. The total magnetization comes out at 0.0 μB/cell. The space-group type is Immm, No. 71. As for the energy relative to the lowest polymorph listed for this composition: 199.3 meV per atom.

abc: 5.896 5.896 5.896
angles: 154.11 132.72 54.69
Sites, in units of the cell vectors:
K1 0.000 0.000 0.000
Ni1 0.500 0.500 0.000
Ru1 0.288 0.788 0.500
Ru2 0.712 0.212 0.500

***

The following is a DFT calculation (PBE) of an optimized crystal structure of KNiS2.

Summary:
For the formation energy without anion corrections, the calculation gives -0.50 eV per atom. The volume is 78.3 Å³ per cell. The total magnetization comes out at 1.0 μB/cell. The space-group type is R3m, No. 160.

abc: 7.345 7.345 7.345
angles: 28.22 28.22 28.22
Sites, in units of the cell vectors:
K1 0.000 0.000 0.000
Ni1 0.832 0.832 0.832
S1 0.220 0.220 0.220
S2 0.445 0.445 0.445

***

The following is a DFT calculation (PBE) of an optimized crystal structure of K4NiS4.

Summary:
For the formation energy without anion corrections, the calculation gives -0.66 eV per atom. The volume is 335.0 Å³ per cell. The total magnetization comes out at 2.0 μB/cell. The space-group type is I-42m, No. 121.

abc: 7.917 7.917 7.917
angles: 122.75 122.75 85.30
Sites, in units of the cell vectors:
K1 0.000 0.500 0.500
K2 0.197 0.197 0.000
K3 0.500 0.000 0.500
K4 0.803 0.803 0.000
Ni1 0.500 0.500 0.000
S1 0.227 0.581 0.000
S2 0.419 0.419 0.646
S3 0.581 0.227 0.000
S4 0.773 0.773 0.354

***

The following is a DFT calculation (PBE) of an optimized crystal structure of KNiS.

Summary:
For the formation energy without anion corrections, the calculation gives -0.49 eV per atom. The volume is 85.1 Å³ per cell. The total magnetization comes out at 0.0 μB/cell. The space-group type is P1, No. 1.

abc: 4.066 4.575 4.575
angles: 90.01 90.60 90.75
Sites, in units of the cell vectors:
K1 0.000 0.000 0.000
Ni1 0.504 0.501 0.501
S1 0.004 0.500 0.500

***

The following is a DFT calculation (PBE) of an optimized crystal structure of K3NiS.

Summary:
For the formation energy without anion corrections, the calculation gives -0.06 eV per atom. The volume is 221.2 Å³ per cell. The total magnetization comes out at 1.0 μB/cell. The space-group type is Pm-3m, No. 221. As for the energy relative to the lowest polymorph listed for this composition: 0.0 meV per atom.

abc: 6.048 6.048 6.048
angles: 90.00 90.00 90.00
Sites, in units of the cell vectors:
K1 0.000 0.000 0.500
K2 0.000 0.500 0.000
K3 0.500 0.000 0.000
Ni1 0.500 0.500 0.500
S1 0.000 0.000 0.000

***

The following is a DFT calculation (PBE) of an optimized crystal structure of KNiS2.

Summary:
For the formation energy without anion corrections, the calculation gives -0.61 eV per atom. The volume is 236.3 Å³ per cell. The total magnetization comes out at 1.9 μB/cell. The space-group type is Cmcm, No. 63.

abc: 7.099 7.099 6.571
angles: 90.00 90.00 134.47
Sites, in units of the cell vectors:
K1 0.174 0.826 0.750
K2 0.826 0.174 0.250
Ni1 0.499 0.501 0.750
Ni2 0.501 0.499 0.250
S1 0.390 0.610 0.001
S2 0.390 0.610 0.499
S3 0.610 0.390 0.501
S4 0.610 0.390 0.999

***

The following is a DFT calculation (PBE) of an optimized crystal structure of KNiS2.

Summary:
For the formation energy without anion corrections, the calculation gives 0.27 eV per atom. The volume is 75.1 Å³ per cell. The total magnetization comes out at 2.3 μB/cell. The space-group type is Fm-3m, No. 225.

abc: 4.735 4.735 4.735
angles: 60.00 60.00 60.00
Sites, in units of the cell vectors:
K1 0.000 0.000 0.000
Ni1 0.500 0.500 0.500
S1 0.250 0.250 0.250
S2 0.750 0.750 0.750

***

The following is a DFT calculation (PBE) of an optimized crystal structure of KNiS.

Summary:
For the formation energy without anion corrections, the calculation gives -0.28 eV per atom. The volume is 61.0 Å³ per cell. The total magnetization comes out at 0.2 μB/cell. The space-group type is I4mm, No. 107.

abc: 6.037 6.037 6.037
angles: 148.17 148.17 45.63
Sites, in units of the cell vectors:
K1 0.000 0.000 0.000
Ni1 0.261 0.261 0.000
S1 0.727 0.727 0.000

***

The following is a DFT calculation (PBE) of an optimized crystal structure of K2Ni3S4.

Summary:
For the formation energy without anion corrections, the calculation gives -0.72 eV per atom. The volume is 386.9 Å³ per cell. The total magnetization comes out at 0.0 μB/cell. The space-group type is Fddd, No. 70.

abc: 14.209 13.586 5.823
angles: 83.99 71.96 24.05
Sites, in units of the cell vectors:
K1 0.047 0.047 0.203
K2 0.203 0.203 0.047
K3 0.797 0.797 0.953
K4 0.953 0.953 0.797
Ni1 0.126 0.126 0.624
Ni2 0.375 0.375 0.375
Ni3 0.376 0.376 0.874
Ni4 0.624 0.624 0.126
Ni5 0.625 0.625 0.625
Ni6 0.874 0.874 0.376
S1 0.159 0.482 0.259
S2 0.259 0.600 0.159
S3 0.400 0.741 0.518
S4 0.482 0.159 0.600
S5 0.518 0.841 0.400
S6 0.600 0.259 0.482
S7 0.741 0.400 0.841
S8 0.841 0.518 0.741

***

The following is a DFT calculation (PBE) of an optimized crystal structure of KNiS.

Summary:
For the formation energy without anion corrections, the calculation gives -0.63 eV per atom. The volume is 63.2 Å³ per cell. The total magnetization comes out at 0.0 μB/cell. The space-group type is P-6m2, No. 187.

abc: 3.797 3.797 5.060
angles: 90.00 90.00 120.00
Sites, in units of the cell vectors:
K1 0.000 0.000 0.000
Ni1 0.333 0.667 0.500
S1 0.667 0.333 0.500

***

The following is a DFT calculation (PBE) of an optimized crystal structure of KNiS.

Summary:
For the formation energy without anion corrections, the calculation gives -0.69 eV per atom. The volume is 139.1 Å³ per cell. The total magnetization comes out at 0.0 μB/cell. The space-group type is P-1, No. 2.

abc: 3.941 6.213 6.271
angles: 106.51 108.22 90.32
Sites, in units of the cell vectors:
K1 0.098 0.309 0.194
K2 0.902 0.691 0.806
Ni1 0.208 0.887 0.419
Ni2 0.792 0.113 0.581
S1 0.361 0.215 0.719
S2 0.639 0.785 0.281

***

The following is a DFT calculation (PBE) of an optimized crystal structure of KNiS6.

Summary:
For the formation energy without anion corrections, the calculation gives -0.29 eV per atom. The volume is 230.7 Å³ per cell. The total magnetization comes out at 0.0 μB/cell. The space-group type is P-1, No. 2.

abc: 5.540 6.212 7.696
angles: 72.63 69.41 72.32
Sites, in units of the cell vectors:
K1 0.000 0.000 0.000
Ni1 0.500 0.500 0.500
S1 0.115 0.422 0.589
S2 0.347 0.430 0.989
S3 0.470 0.743 0.225
S4 0.530 0.257 0.775
S5 0.653 0.570 0.011
S6 0.885 0.578 0.411

***

The following is a DFT calculation (PBE) of an optimized crystal structure of KNi2S.

Summary:
For the formation energy without anion corrections, the calculation gives -0.29 eV per atom. The volume is 172.4 Å³ per cell. The total magnetization comes out at 0.0 μB/cell. The space-group type is I4_1/amd, No. 141.

abc: 7.738 7.738 7.738
angles: 142.25 142.25 54.45
Sites, in units of the cell vectors:
K1 0.375 0.625 0.750
K2 0.625 0.375 0.250
Ni1 0.000 0.000 0.000
Ni2 0.000 0.000 0.500
Ni3 0.000 0.500 0.000
Ni4 0.500 0.000 0.500
S1 0.125 0.875 0.250
S2 0.875 0.125 0.750

***

The following is a DFT calculation (PBE) of an optimized crystal structure of K2Ni2S3.

Summary:
For the formation energy without anion corrections, the calculation gives -0.67 eV per atom. The volume is 151.5 Å³ per cell. The total magnetization comes out at 0.0 μB/cell. The space-group type is C2/m, No. 12.

abc: 6.429 6.429 7.741
angles: 123.53 123.53 35.55
Sites, in units of the cell vectors:
K1 0.066 0.066 0.344
K2 0.934 0.934 0.656
Ni1 0.296 0.296 0.929
Ni2 0.704 0.704 0.071
S1 0.297 0.297 0.222
S2 0.500 0.500 0.000
S3 0.703 0.703 0.778

***

The following is a DFT calculation (PBE) of an optimized crystal structure of K3Ni5S12.

Summary:
For the formation energy without anion corrections, the calculation gives -0.22 eV per atom. The volume is 1733.5 Å³ per cell. The total magnetization comes out at 9.5 μB/cell. The space-group type is Ia-3d, No. 230.

abc: 13.107 13.107 13.107
angles: 109.47 109.47 109.47
Sites, in units of the cell vectors:
K1 0.125 0.250 0.375
K2 0.125 0.375 0.750
K3 0.250 0.375 0.125
K4 0.250 0.875 0.625
K5 0.375 0.125 0.250
K6 0.375 0.750 0.125
K7 0.625 0.250 0.875
K8 0.625 0.875 0.750
K9 0.750 0.125 0.375
K10 0.750 0.625 0.875
K11 0.875 0.625 0.250
K12 0.875 0.750 0.625
Ni1 0.000 0.000 0.000
Ni2 0.000 0.000 0.500
Ni3 0.000 0.500 0.000
Ni4 0.000 0.500 0.500
Ni5 0.125 0.750 0.875
Ni6 0.125 0.875 0.250
Ni7 0.250 0.125 0.875
Ni8 0.250 0.625 0.375
Ni9 0.375 0.250 0.625
Ni10 0.375 0.625 0.750
Ni11 0.500 0.000 0.000
Ni12 0.500 0.000 0.500
Ni13 0.500 0.500 0.000
Ni14 0.500 0.500 0.500
Ni15 0.625 0.375 0.250
Ni16 0.625 0.750 0.375
Ni17 0.750 0.375 0.625
Ni18 0.750 0.875 0.125
Ni19 0.875 0.125 0.750
Ni20 0.875 0.250 0.125
S1 0.009 0.713 0.063
S2 0.009 0.796 0.946
S3 0.054 0.563 0.850
S4 0.054 0.991 0.204
S5 0.063 0.009 0.713
S6 0.063 0.554 0.350
S7 0.150 0.704 0.713
S8 0.150 0.946 0.437
S9 0.204 0.054 0.991
S10 0.204 0.650 0.213
S11 0.213 0.204 0.650
S12 0.213 0.509 0.563
S13 0.287 0.850 0.296
S14 0.287 0.937 0.991
S15 0.296 0.287 0.850
S16 0.296 0.509 0.446
S17 0.350 0.063 0.554
S18 0.350 0.787 0.796
S19 0.437 0.150 0.946
S20 0.437 0.787 0.491
S21 0.446 0.296 0.509
S22 0.446 0.650 0.937
S23 0.491 0.437 0.787
S24 0.491 0.554 0.704
S25 0.509 0.446 0.296
S26 0.509 0.563 0.213
S27 0.554 0.350 0.063
S28 0.554 0.704 0.491
S29 0.563 0.213 0.509
S30 0.563 0.850 0.054
S31 0.650 0.213 0.204
S32 0.650 0.937 0.446
S33 0.704 0.491 0.554
S34 0.704 0.713 0.150
S35 0.713 0.063 0.009
S36 0.713 0.150 0.704
S37 0.787 0.491 0.437
S38 0.787 0.796 0.350
S39 0.796 0.350 0.787
S40 0.796 0.946 0.009
S41 0.850 0.054 0.563
S42 0.850 0.296 0.287
S43 0.937 0.446 0.650
S44 0.937 0.991 0.287
S45 0.946 0.009 0.796
S46 0.946 0.437 0.150
S47 0.991 0.204 0.054
S48 0.991 0.287 0.937